Entry 1:
A relaxed Ac2Be2ZnO6 crystal, computed with PBE.

Results
calculated volume: 156.84 Å³ per cell
DOS at the Fermi energy: 0.00 states/eV/f.u.
ΔE_f (raw): -2461 meV/atom

Cell lengths 5.538, 5.538, 5.905 Å; angles 90.00, 90.00, 120.00 degrees
Element x y z (fractional)
1 Ac 0.333 0.667 0.242
2 Ac 0.667 0.333 0.758
3 Be 0.333 0.667 0.773
4 Be 0.667 0.333 0.227
5 Zn 0.000 0.000 0.000
6 O 0.117 0.359 0.790
7 O 0.242 0.883 0.790
8 O 0.359 0.242 0.210
9 O 0.641 0.758 0.790
10 O 0.758 0.117 0.210
11 O 0.883 0.641 0.210

Entry 2:
A relaxed AcBeP2 crystal, computed with PBE.

Results
calculated volume: 83.55 Å³ per cell
DOS at the Fermi energy: 1.84 states/eV/f.u.
energy relative to the elements: -0.05 eV/atom

Cell lengths 4.556, 4.556, 4.025 Å; angles 90.00, 90.00, 90.00 degrees
Element x y z (fractional)
1 Ac 0.000 0.000 0.000
2 Be 0.500 0.500 0.000
3 P 0.000 0.500 0.500
4 P 0.500 0.000 0.500

Entry 3:
A relaxed Ac2BeP crystal, computed with PBE.

Results
calculated volume: 105.44 Å³ per cell
DOS at the Fermi energy: 2.45 states/eV/f.u.
energy relative to the elements: -0.32 eV/atom

Cell lengths 5.234, 5.234, 3.849 Å; angles 90.00, 90.00, 90.00 degrees
Element x y z (fractional)
1 Ac 0.000 0.500 0.000
2 Ac 0.500 0.000 0.000
3 Be 0.000 0.000 0.500
4 P 0.500 0.500 0.500

Entry 4:
A relaxed Ac3BeP crystal, computed with PBE.

Results
calculated volume: 195.44 Å³ per cell
DOS at the Fermi energy: 7.19 states/eV/f.u.
energy relative to the elements: 0.03 eV/atom

Cell lengths 5.803, 5.803, 5.803 Å; angles 90.00, 90.00, 90.00 degrees
Element x y z (fractional)
1 Ac 0.000 0.000 0.500
2 Ac 0.000 0.500 0.000
3 Ac 0.500 0.000 0.000
4 Be 0.500 0.500 0.500
5 P 0.000 0.000 0.000

Entry 5:
A relaxed AcBeP2 crystal, computed with PBE.

Results
calculated volume: 131.62 Å³ per cell
DOS at the Fermi energy: 4.95 states/eV/f.u.
energy relative to the elements: -0.28 eV/atom

Cell lengths 7.345, 7.345, 7.345 Å; angles 37.49, 37.49, 37.49 degrees
Element x y z (fractional)
1 Ac 0.000 0.000 0.000
2 Be 0.500 0.500 0.500
3 P 0.403 0.403 0.403
4 P 0.597 0.597 0.597

Entry 6:
A relaxed Ac2BeP crystal, computed with PBE.

Results
calculated volume: 149.56 Å³ per cell
DOS at the Fermi energy: 4.99 states/eV/f.u.
energy relative to the elements: 0.12 eV/atom

Cell lengths 10.248, 10.248, 10.248 Å; angles 23.44, 23.44, 23.44 degrees
Element x y z (fractional)
1 Ac 0.107 0.107 0.107
2 Ac 0.893 0.893 0.893
3 Be 0.000 0.000 0.000
4 P 0.500 0.500 0.500

Entry 7:
A relaxed Ac2BeP crystal, computed with PBE.

Results
calculated volume: 106.69 Å³ per cell
DOS at the Fermi energy: 3.47 states/eV/f.u.
energy relative to the elements: -0.22 eV/atom

Cell lengths 5.324, 5.324, 5.324 Å; angles 60.00, 60.00, 60.00 degrees
Element x y z (fractional)
1 Ac 0.250 0.250 0.250
2 Ac 0.750 0.750 0.750
3 Be 0.000 0.000 0.000
4 P 0.500 0.500 0.500

Entry 8:
A relaxed Ac3BeP2Pt9 crystal, computed with PBE.

Results
calculated volume: 306.21 Å³ per cell
DOS at the Fermi energy: 4.14 states/eV/f.u.
energy relative to the elements: -0.82 eV/atom

Cell lengths 6.420, 6.420, 8.580 Å; angles 90.00, 90.00, 120.00 degrees
Element x y z (fractional)
1 Ac 0.000 0.000 0.000
2 Ac 0.333 0.667 0.642
3 Ac 0.667 0.333 0.358
4 Be 0.000 0.000 0.500
5 P 0.333 0.667 0.191
6 P 0.667 0.333 0.809
7 Pt 0.000 0.500 0.000
8 Pt 0.145 0.291 0.304
9 Pt 0.145 0.855 0.304
10 Pt 0.291 0.145 0.696
11 Pt 0.500 0.000 0.000
12 Pt 0.500 0.500 0.000
13 Pt 0.709 0.855 0.304
14 Pt 0.855 0.145 0.696
15 Pt 0.855 0.709 0.696

Entry 9:
A relaxed Ac2BePPt6 crystal, computed with PBE.

Results
calculated volume: 190.67 Å³ per cell
DOS at the Fermi energy: 3.93 states/eV/f.u.
energy relative to the elements: -0.99 eV/atom

Cell lengths 6.808, 6.808, 6.808 Å; angles 127.93, 127.93, 76.74 degrees
Element x y z (fractional)
1 Ac 0.000 0.500 0.500
2 Ac 0.500 0.000 0.500
3 Be 0.350 0.350 0.000
4 P 0.861 0.861 0.000
5 Pt 0.003 0.003 0.499
6 Pt 0.003 0.504 0.000
7 Pt 0.080 0.080 0.000
8 Pt 0.504 0.003 0.000
9 Pt 0.504 0.504 0.501
10 Pt 0.560 0.560 0.000

Entry 10:
A relaxed AcBePPt6 crystal, computed with PBE.

Results
calculated volume: 349.26 Å³ per cell
DOS at the Fermi energy: 2.33 states/eV/f.u.
energy relative to the elements: -0.58 eV/atom

Cell lengths 7.916, 7.916, 7.916 Å; angles 122.33, 117.97, 89.78 degrees
Element x y z (fractional)
1 Ac 0.369 0.119 0.250
2 Ac 0.631 0.881 0.750
3 Be 0.000 0.000 0.500
4 Be 0.000 0.500 0.000
5 P 0.000 0.500 0.500
6 P 0.500 0.500 0.000
7 Pt 0.102 0.403 0.245
8 Pt 0.102 0.858 0.700
9 Pt 0.103 0.853 0.250
10 Pt 0.342 0.142 0.745
11 Pt 0.342 0.597 0.200
12 Pt 0.346 0.596 0.750
13 Pt 0.654 0.404 0.250
14 Pt 0.658 0.403 0.800
15 Pt 0.658 0.858 0.255
16 Pt 0.897 0.147 0.750
17 Pt 0.898 0.142 0.300
18 Pt 0.898 0.597 0.755

Entry 11:
A relaxed Ac2PuBe2P4 crystal, computed with PBE.

Results
calculated volume: 191.16 Å³ per cell
DOS at the Fermi energy: 10.45 states/eV/f.u.
energy relative to the elements: -0.91 eV/atom

Cell lengths 7.666, 7.666, 7.002 Å; angles 109.83, 109.83, 29.74 degrees
Element x y z (fractional)
1 Ac 0.136 0.136 0.070
2 Ac 0.864 0.864 0.930
3 Pu 0.000 0.000 0.500
4 Be 0.326 0.326 0.513
5 Be 0.674 0.674 0.487
6 P 0.207 0.207 0.668
7 P 0.472 0.472 0.751
8 P 0.528 0.528 0.249
9 P 0.793 0.793 0.332

Entry 12:
A relaxed SrAcBeP2 crystal, computed with PBE.

Results
calculated volume: 259.94 Å³ per cell
DOS at the Fermi energy: 1.62 states/eV/f.u.
energy relative to the elements: -0.78 eV/atom

Cell lengths 7.063, 4.691, 8.299 Å; angles 90.00, 109.01, 90.00 degrees
Element x y z (fractional)
1 Sr 0.000 0.097 0.250
2 Sr 0.000 0.903 0.750
3 Ac 0.500 0.252 0.750
4 Ac 0.500 0.748 0.250
5 Be 0.000 0.500 0.000
6 Be 0.000 0.500 0.500
7 P 0.254 0.287 0.014
8 P 0.254 0.713 0.514
9 P 0.746 0.287 0.486
10 P 0.746 0.713 0.986

Entry 13:
A relaxed AcPa2BeS8 crystal, computed with PBE.

Results
calculated volume: 317.50 Å³ per cell
DOS at the Fermi energy: 7.13 states/eV/f.u.
ΔE_f (raw): -1265 meV/atom

Cell lengths 6.189, 8.264, 6.251 Å; angles 90.00, 96.72, 90.00 degrees
Element x y z (fractional)
1 Ac 0.000 0.000 0.000
2 Pa 0.500 0.260 0.500
3 Pa 0.500 0.740 0.500
4 Be 0.000 0.500 0.000
5 S 0.179 0.304 0.199
6 S 0.179 0.696 0.199
7 S 0.323 0.500 0.694
8 S 0.337 0.000 0.691
9 S 0.663 0.000 0.309
10 S 0.677 0.500 0.306
11 S 0.821 0.304 0.801
12 S 0.821 0.696 0.801

Entry 14:
A relaxed AcBePb crystal, computed with PBE.

Results
calculated volume: 80.91 Å³ per cell
DOS at the Fermi energy: 1.47 states/eV/f.u.
energy relative to the elements: 0.17 eV/atom

Cell lengths 6.589, 6.589, 6.589 Å; angles 147.81, 147.81, 46.17 degrees
Element x y z (fractional)
1 Ac 0.000 0.000 0.000
2 Be 0.330 0.330 0.000
3 Pb 0.718 0.718 0.000

Entry 15:
A relaxed AcBePb crystal, computed with PBE.

Results
calculated volume: 168.64 Å³ per cell
DOS at the Fermi energy: 2.38 states/eV/f.u.
energy relative to the elements: -0.04 eV/atom

Cell lengths 4.546, 5.043, 7.356 Å; angles 90.00, 90.00, 90.00 degrees
Element x y z (fractional)
1 Ac 0.250 0.000 0.249
2 Ac 0.750 0.000 0.751
3 Be 0.000 0.500 0.500
4 Be 0.500 0.500 0.500
5 Pb 0.250 0.500 0.846
6 Pb 0.750 0.500 0.154

Entry 16:
A relaxed Ac2BePd6Pb crystal, computed with PBE.

Results
calculated volume: 217.25 Å³ per cell
DOS at the Fermi energy: 6.28 states/eV/f.u.
energy relative to the elements: -0.61 eV/atom

Cell lengths 6.083, 6.092, 7.609 Å; angles 66.75, 66.55, 60.07 degrees
Element x y z (fractional)
1 Ac 0.242 0.243 0.274
2 Ac 0.758 0.757 0.726
3 Be 0.000 0.000 0.000
4 Pd 0.232 0.704 0.830
5 Pd 0.233 0.231 0.825
6 Pd 0.292 0.770 0.173
7 Pd 0.708 0.230 0.827
8 Pd 0.767 0.769 0.175
9 Pd 0.768 0.296 0.170
10 Pb 0.500 0.500 0.500

Entry 17:
A relaxed AcPmBePb crystal, computed with PBE.

Results
calculated volume: 117.34 Å³ per cell
DOS at the Fermi energy: 3.29 states/eV/f.u.
energy relative to the elements: -0.01 eV/atom

Cell lengths 5.495, 5.495, 5.495 Å; angles 60.00, 60.00, 60.00 degrees
Element x y z (fractional)
1 Ac 0.000 0.000 0.000
2 Pm 0.500 0.500 0.500
3 Be 0.750 0.750 0.750
4 Pb 0.250 0.250 0.250

Entry 18:
A relaxed AcBe6Pd12 crystal, computed with PBE.

Results
calculated volume: 275.80 Å³ per cell
DOS at the Fermi energy: 4.63 states/eV/f.u.
energy relative to the elements: -0.55 eV/atom

Cell lengths 6.805, 6.805, 6.805 Å; angles 104.96, 104.96, 104.96 degrees
Element x y z (fractional)
1 Ac 0.000 0.000 0.000
2 Be 0.248 0.248 0.682
3 Be 0.248 0.682 0.248
4 Be 0.318 0.752 0.752
5 Be 0.682 0.248 0.248
6 Be 0.752 0.318 0.752
7 Be 0.752 0.752 0.318
8 Pd 0.129 0.500 0.871
9 Pd 0.129 0.871 0.500
10 Pd 0.181 0.444 0.444
11 Pd 0.444 0.181 0.444
12 Pd 0.444 0.444 0.181
13 Pd 0.500 0.129 0.871
14 Pd 0.500 0.871 0.129
15 Pd 0.556 0.556 0.819
16 Pd 0.556 0.819 0.556
17 Pd 0.819 0.556 0.556
18 Pd 0.871 0.129 0.500
19 Pd 0.871 0.500 0.129

Entry 19:
A relaxed Ac2BePd4 crystal, computed with PBE.

Results
calculated volume: 301.23 Å³ per cell
DOS at the Fermi energy: 2.89 states/eV/f.u.
energy relative to the elements: -0.70 eV/atom

Cell lengths 6.036, 6.013, 8.569 Å; angles 90.00, 104.40, 90.00 degrees
Element x y z (fractional)
1 Ac 0.178 0.250 0.392
2 Ac 0.253 0.750 0.040
3 Ac 0.747 0.250 0.960
4 Ac 0.822 0.750 0.608
5 Be 0.098 0.250 0.741
6 Be 0.902 0.750 0.259
7 Pd 0.265 0.750 0.421
8 Pd 0.274 0.250 0.015
9 Pd 0.365 0.513 0.724
10 Pd 0.365 0.987 0.724
11 Pd 0.635 0.013 0.276
12 Pd 0.635 0.487 0.276
13 Pd 0.726 0.750 0.985
14 Pd 0.735 0.250 0.579

Entry 20:
A relaxed AcBePd4 crystal, computed with PBE.

Results
calculated volume: 213.45 Å³ per cell
DOS at the Fermi energy: 2.37 states/eV/f.u.
energy relative to the elements: -0.61 eV/atom

Cell lengths 7.790, 3.911, 7.006 Å; angles 90.00, 90.00, 90.00 degrees
Element x y z (fractional)
1 Ac 0.250 0.000 0.125
2 Ac 0.750 0.000 0.875
3 Be 0.250 0.000 0.672
4 Be 0.750 0.000 0.328
5 Pd 0.000 0.000 0.500
6 Pd 0.068 0.500 0.801
7 Pd 0.250 0.500 0.461
8 Pd 0.432 0.500 0.801
9 Pd 0.500 0.000 0.500
10 Pd 0.568 0.500 0.199
11 Pd 0.750 0.500 0.539
12 Pd 0.932 0.500 0.199